# 1
VASP calculation (PBE-GGA) on an optimized crystal structure of Sm2Ga4PtAu3.

Lattice parameters (Å, degrees): 4.378 4.378 10.555 90.00 90.00 90.00
Element x y z (fractional)
Au  0.500  0.000  0.863
Pt  0.500  0.500  0.500
Sm  0.000  0.500  0.746
Ga  0.000  0.500  0.373
Ga  0.500  0.000  0.627
Ga  0.500  0.500  0.000
Ga  0.000  0.000  0.000
Au  0.000  0.500  0.137
Au  0.000  0.000  0.500
Sm  0.500  0.000  0.254

Computed properties:
Energy of formation from the pure elements = -0.70 eV/atom

***

# 2
VASP calculation (PBE-GGA) on an optimized crystal structure of Sm2Ga4Pt3Au.

Lattice parameters (Å, degrees): 4.285 4.285 10.613 90.00 90.00 90.00
Element x y z (fractional)
Ga  0.500  0.000  0.637
Ga  0.000  0.500  0.363
Ga  0.500  0.500  0.000
Pt  0.500  0.000  0.868
Sm  0.500  0.000  0.241
Ga  0.000  0.000  0.000
Pt  0.000  0.500  0.132
Au  0.500  0.500  0.500
Sm  0.000  0.500  0.759
Pt  0.000  0.000  0.500

Computed properties:
Energy of formation from the pure elements = -0.88 eV/atom

***

# 3
VASP calculation (PBE-GGA) on an optimized crystal structure of SmGa3PtAu.

Lattice parameters (Å, degrees): 5.814 6.551 8.112 113.81 90.00 90.00
Element x y z (fractional)
Ga  0.000  0.290  0.000
Ga  0.750  0.777  0.555
Pt  0.250  0.060  0.120
Ga  0.250  0.223  0.445
Sm  0.250  0.845  0.690
Ga  0.500  0.710  0.000
Pt  0.750  0.940  0.880
Sm  0.750  0.155  0.310
Ga  0.000  0.710  0.000
Au  0.250  0.384  0.768
Ga  0.500  0.290  0.000
Au  0.750  0.616  0.232

Computed properties:
Energy of formation from the pure elements = -0.42 eV/atom

***

# 4
VASP calculation (PBE-GGA) on an optimized crystal structure of SmGaPtAu.

Lattice parameters (Å, degrees): 4.849 4.849 4.849 60.00 60.00 60.00
Element x y z (fractional)
Pt  0.750  0.750  0.750
Au  0.250  0.250  0.250
Sm  0.000  0.000  0.000
Ga  0.500  0.500  0.500

Computed properties:
Energy of formation from the pure elements = -0.70 eV/atom

***

# 5
VASP calculation (PBE-GGA) on an optimized crystal structure of SmGa2Pt5Au.

Lattice parameters (Å, degrees): 4.091 4.091 9.680 90.00 90.00 90.00
Element x y z (fractional)
Pt  0.000  0.500  0.726
Pt  0.500  0.000  0.274
Ga  0.500  0.500  0.876
Pt  0.500  0.500  0.500
Pt  0.500  0.000  0.726
Ga  0.500  0.500  0.124
Sm  0.000  0.000  0.500
Pt  0.000  0.500  0.274
Au  0.000  0.000  0.000

Computed properties:
Energy of formation from the pure elements = -0.56 eV/atom

***

# 6
VASP calculation (PBE-GGA) on an optimized crystal structure of Ga2Sn2PtAu2.

Lattice parameters (Å, degrees): 3.982 7.557 6.817 57.72 73.04 58.29
Element x y z (fractional)
Au  0.070  0.672  0.524
Sn  0.675  0.953  0.743
Au  0.930  0.328  0.476
Pt  0.000  0.000  0.000
Ga  0.637  0.453  0.824
Ga  0.363  0.547  0.176
Sn  0.325  0.047  0.257

Computed properties:
Energy of formation from the pure elements = -0.27 eV/atom